(1)
The following is a GGA-PBE calculation of a relaxed AcTl2AgI6 crystal, from Alexandria.

Computed properties:
The density of states at the Fermi level comes out at 0.0000 states/eV/atom. The total DFT energy (no corrections) is -3.001 eV per atom. The value obtained for the uncorrected formation energy is -0.90 eV/atom.

Cell lengths 8.169, 8.725, 12.099 Å; angles 90.00, 87.35, 90.00 degrees
Fractional positions:
I  0.369  0.968  0.758
Ac  0.500  0.000  0.500
I  0.691  0.317  0.564
I  0.676  0.301  0.941
I  0.131  0.468  0.742
I  0.809  0.817  0.936
Tl  0.961  0.096  0.734
I  0.324  0.699  0.059
Ag  0.500  0.000  0.000
Tl  0.539  0.596  0.766
I  0.824  0.801  0.559
I  0.631  0.032  0.242
I  0.176  0.199  0.441
I  0.309  0.683  0.436
Ac  0.000  0.500  0.000
I  0.191  0.183  0.064
I  0.869  0.532  0.258
Tl  0.461  0.404  0.234
Tl  0.039  0.904  0.266
Ag  0.000  0.500  0.500


(2)
The following is a GGA-PBE calculation of a relaxed Er3Tl2Zn2 crystal, from Alexandria.

Computed properties:
The density of states at the Fermi level comes out at 0.8831 states/eV/atom. The formation energy is -0.326 eV/atom. The total DFT energy (no corrections) is -3.322 eV per atom.

Cell lengths 4.347, 3.560, 10.952 Å; angles 90.00, 78.55, 90.00 degrees
Fractional positions:
Tl  0.418  0.500  0.164
Zn  0.720  0.500  0.561
Er  0.833  0.000  0.333
Zn  0.280  0.500  0.439
Tl  0.582  0.500  0.836
Er  0.167  0.000  0.667
Er  0.000  0.000  0.000


(3)
The following is a GGA-PBE calculation of a relaxed ZrTaCd2Br crystal, from Alexandria.

Computed properties:
The density of states at the Fermi level comes out at 0.7091 states/eV/atom. The total DFT energy (no corrections) is -3.983 eV per atom. The value obtained for the uncorrected formation energy is 0.80 eV/atom.

Cell lengths 5.524, 5.524, 5.075 Å; angles 90.00, 90.00, 90.00 degrees
Fractional positions:
Cd  0.500  0.000  0.000
Ta  0.000  0.000  0.000
Br  0.500  0.500  0.500
Zr  0.000  0.000  0.500
Cd  0.000  0.500  0.000


(4)
The following is a GGA-PBE calculation of a relaxed YNbSi2Ru crystal, from Alexandria.

Computed properties:
The density of states at the Fermi level comes out at 0.6670 states/eV/atom. The total DFT energy (no corrections) is -8.011 eV per atom. The value obtained for the uncorrected formation energy is -0.68 eV/atom.

Cell lengths 4.034, 4.034, 6.182 Å; angles 109.04, 109.04, 90.00 degrees
Fractional positions:
Nb  0.750  0.250  0.500
Si  0.609  0.609  0.218
Si  0.391  0.391  0.782
Y  0.000  0.000  0.000
Ru  0.250  0.750  0.500


(5)
The following is a GGA-PBE calculation of a relaxed SrFeSN2 crystal, from Alexandria.

Computed properties:
The density of states at the Fermi level comes out at 0.4729 states/eV/atom. For the energy above the most stable polymorph in this dataset, the calculation gives 0.00 eV/f.u. The total DFT energy (no corrections) is -6.134 eV per atom. The value obtained for the uncorrected formation energy is 0.05 eV/atom.

Cell lengths 3.824, 3.824, 4.936 Å; angles 90.00, 90.00, 90.00 degrees
Fractional positions:
S  0.000  0.000  0.500
N  0.500  0.000  0.000
Sr  0.500  0.500  0.500
N  0.000  0.500  0.000
Fe  0.000  0.000  0.000


(6)
The following is a GGA-PBE calculation of a relaxed Mo2Ir9Rh crystal, from Alexandria.

Computed properties:
The density of states at the Fermi level comes out at 1.0032 states/eV/atom. The formation energy is 0.121 eV/atom. The total DFT energy (no corrections) is -8.943 eV per atom.

Cell lengths 6.738, 6.933, 6.975 Å; angles 60.74, 60.66, 42.44 degrees
Fractional positions:
Ir  0.428  0.578  0.522
Ir  0.478  0.362  0.950
Ir  0.369  0.245  0.410
Mo  0.977  0.836  0.346
Mo  0.991  0.126  0.585
Ir  0.333  0.028  0.186
Ir  0.067  0.477  0.831
Ir  0.634  0.030  0.730
Ir  0.593  0.526  0.114
Ir  0.640  0.687  0.655
Rh  0.101  0.035  0.929
Ir  0.890  0.571  0.241


(7)
The following is a GGA-PBE calculation of a relaxed La4TcPb crystal, from Alexandria.

Computed properties:
The density of states at the Fermi level comes out at 1.4557 states/eV/atom. For the energy above the most stable polymorph in this dataset, the calculation gives 5.22 eV/f.u. The formation energy is 0.595 eV/atom. The total DFT energy (no corrections) is -5.035 eV per atom.

Cell lengths 6.363, 6.363, 6.363 Å; angles 60.00, 60.00, 60.00 degrees
Fractional positions:
La  0.374  0.374  0.374
La  0.374  0.374  0.878
La  0.878  0.374  0.374
La  0.374  0.878  0.374
Tc  0.000  0.000  0.000
Pb  0.750  0.750  0.750


(8)
The following is a GGA-PBE calculation of a relaxed NbFe2NiH crystal, from Alexandria.

Computed properties:
The density of states at the Fermi level comes out at 0.7156 states/eV/atom. For the energy above the most stable polymorph in this dataset, the calculation gives 0.00 eV/f.u. The total DFT energy (no corrections) is -7.304 eV per atom.

Cell lengths 3.738, 3.738, 3.573 Å; angles 90.00, 90.00, 90.00 degrees
Fractional positions:
H  0.000  0.000  0.000
Nb  0.500  0.500  0.500
Fe  0.000  0.500  0.000
Fe  0.500  0.000  0.000
Ni  0.000  0.000  0.500


(9)
The following is a GGA-PBE calculation of a relaxed LaTl2Ag2 crystal, from Alexandria.

Computed properties:
The density of states at the Fermi level comes out at 0.6879 states/eV/atom. For the energy above the most stable polymorph in this dataset, the calculation gives 0.62 eV/f.u. The formation energy is -0.022 eV/atom. The total DFT energy (no corrections) is -3.095 eV per atom.

Cell lengths 8.748, 8.748, 3.318 Å; angles 90.00, 90.00, 90.00 degrees
Fractional positions:
Ag  0.659  0.841  0.500
La  0.000  0.000  0.000
Tl  0.137  0.363  0.000
La  0.500  0.500  0.000
Ag  0.159  0.659  0.500
Ag  0.341  0.159  0.500
Tl  0.363  0.863  0.000
Ag  0.841  0.341  0.500
Tl  0.637  0.137  0.000
Tl  0.863  0.637  0.000


(10)
The following is a GGA-PBE calculation of a relaxed Rb5Hg19 crystal, from Alexandria.

Computed properties:
The density of states at the Fermi level comes out at 0.3163 states/eV/atom. The formation energy is -0.215 eV/atom. The total DFT energy (no corrections) is -0.655 eV per atom.

Cell lengths 10.181, 10.181, 10.181 Å; angles 106.82, 106.82, 114.92 degrees
Fractional positions:
Hg  0.707  0.614  0.748
Rb  0.880  0.324  0.204
Hg  0.134  0.041  0.748
Hg  0.344  0.526  0.592
Rb  0.324  0.120  0.444
Hg  0.293  0.386  0.252
Hg  0.959  0.707  0.093
Hg  0.656  0.474  0.408
Hg  0.248  0.656  0.182
Hg  0.041  0.293  0.907
Hg  0.065  0.248  0.592
Rb  0.676  0.880  0.556
Hg  0.614  0.866  0.907
Hg  0.866  0.959  0.252
Hg  0.526  0.935  0.182
Rb  0.500  0.500  0.000
Hg  0.935  0.752  0.408
Hg  0.386  0.134  0.093
Hg  0.750  0.250  0.500
Hg  0.474  0.065  0.818
Hg  0.250  0.750  0.500
Rb  0.120  0.676  0.796
Hg  0.752  0.344  0.818
Hg  0.000  0.000  0.000


(11)
The following is a GGA-PBE calculation of a relaxed IrAu3Se crystal, from Alexandria.

Computed properties:
The density of states at the Fermi level comes out at 0.4632 states/eV/atom. For the energy above the most stable polymorph in this dataset, the calculation gives 0.34 eV/f.u. The total DFT energy (no corrections) is -3.166 eV per atom. The value obtained for the uncorrected formation energy is 1.27 eV/atom.

Cell lengths 4.812, 4.812, 4.812 Å; angles 90.00, 90.00, 90.00 degrees
Fractional positions:
Ir  0.500  0.500  0.500
Au  0.000  0.500  0.000
Au  0.500  0.000  0.000
Se  0.000  0.000  0.000
Au  0.000  0.000  0.500


(12)
The following is a GGA-PBE calculation of a relaxed BaNa2HfCl8 crystal, from Alexandria.

Computed properties:
The density of states at the Fermi level comes out at 0.0000 states/eV/atom. The total DFT energy (no corrections) is -4.409 eV per atom. The value obtained for the uncorrected formation energy is -1.97 eV/atom.

Cell lengths 6.588, 6.545, 8.832 Å; angles 87.47, 87.45, 88.68 degrees
Fractional positions:
Hf  0.000  0.000  0.000
Cl  0.823  0.202  0.800
Cl  0.811  0.190  0.200
Cl  0.732  0.747  0.007
Cl  0.320  0.312  0.488
Na  0.527  0.529  0.263
Cl  0.680  0.688  0.512
Cl  0.189  0.810  0.800
Cl  0.268  0.253  0.993
Na  0.473  0.471  0.737
Cl  0.177  0.798  0.200
Ba  0.000  0.000  0.500